# Sr2Sb2Rh

An optimized crystal structure of Sr2Sb2Rh (PBE-GGA, Alexandria via LeMat-Bulk).

DOS at the Fermi energy in states/eV per cell: 14.50
VASP energy in eV per atom: -4.62
E_form (uncorrected) in eV/atom: -0.826

Unit cell a=11.8751 b=4.6326 c=12.0333 alpha=90.00 beta=118.39 gamma=90.00
Last column: nearest neighbours and their distance in Å.
Space group C2/m (No. 12)
One atom of each set of equivalent atoms:
Sr 0.0064 0.0000 0.1594 (multiplicity 4)  7 Sb 3.30-3.62, 3 Rh 3.41-3.44
Sr 0.1761 0.0000 0.6122 (multiplicity 4)  6 Sb 3.41-3.55, 2 Rh 3.56, 1 Sr 3.75
Sb 0.0199 0.5000 0.3605 (multiplicity 4)  1 Rh 2.69
Sb 0.1766 0.5000 0.0609 (multiplicity 4)  3 Rh 2.64-2.74
Rh 0.2089 0.5000 0.8500 (multiplicity 4)  4 Sb 2.64-2.74

=====

# Sr2Sb4Rh3

An optimized crystal structure of Sr2Sb4Rh3 (PBE-GGA, Alexandria via LeMat-Bulk).

DOS at the Fermi energy in states/eV per cell: 19.11
VASP energy in eV per atom: -5.29
E_form (uncorrected) in eV/atom: -0.632

Unit cell a=6.0121 b=10.6891 c=13.4998 alpha=90.00 beta=90.00 gamma=90.00
Last column: nearest neighbours and their distance in Å.
Space group Fmmm (No. 69)
One atom of each set of equivalent atoms:
Sr 0.0000 0.0000 0.1304 (multiplicity 8)  8 Sb 3.46-3.61, 6 Rh 3.48-3.54, 1 Sr 3.52
Sb 0.0000 0.1632 0.3517 (multiplicity 16)  3 Rh 2.66-2.67
Rh 0.0000 0.0000 0.5000 (multiplicity 4)  4 Sb 2.66
Rh 0.2500 0.2500 0.0000 (multiplicity 8)  4 Sb 2.67